1.
Y2PuO6, optimized geometry, DFT GGA-PBE; calculated volume = 15.0 Å³/atom; density of states at the Fermi level = 7.57 states/eV/f.u.; uncorrected formation energy = -299.4 kJ/mol of atoms; calculated total energy = -9.437 eV per atom; M_tot = 2.00 μB per formula unit; offset from the most stable computed form = 0 meV/atom
1.0
5.100 0.000 0.000
0.000 5.100 0.000
0.000 0.000 10.383
Y Pu O
4 2 12
Direct
0.000 0.000 0.166
0.000 0.000 0.834
0.500 0.500 0.334
0.500 0.500 0.666
0.000 0.000 0.500
0.500 0.500 0.000
0.185 0.185 0.346
0.185 0.185 0.654
0.209 0.209 0.000
0.291 0.709 0.500
0.315 0.685 0.154
0.315 0.685 0.846
0.685 0.315 0.154
0.685 0.315 0.846
0.709 0.291 0.500
0.791 0.791 0.000
0.815 0.815 0.346
0.815 0.815 0.654

=====

2.
SrSeBr, optimized geometry, DFT GGA-PBE; calculated volume = 33.3 Å³/atom; density of states at the Fermi level = 4.14 states/eV/f.u.; uncorrected formation energy = -96.5 kJ/mol of atoms; calculated total energy = -3.280 eV per atom; M_tot = 0.96 μB per formula unit
1.0
7.367 0.000 0.000
0.000 7.367 0.000
0.000 0.000 7.367
Sr Se Br
4 4 4
Direct
0.000 0.000 0.000
0.000 0.500 0.500
0.500 0.000 0.500
0.500 0.500 0.000
0.000 0.000 0.500
0.000 0.500 0.000
0.500 0.000 0.000
0.500 0.500 0.500
0.250 0.250 0.250
0.250 0.750 0.750
0.750 0.250 0.750
0.750 0.750 0.250

=====

3.
Cs2K2AsO4, optimized geometry, DFT GGA-PBE; calculated volume = 21.0 Å³/atom; density of states at the Fermi level = 2.56 states/eV/f.u.; uncorrected formation energy = -93.3 kJ/mol of atoms; calculated total energy = -4.121 eV per atom; M_tot = 0.75 μB per formula unit
1.0
-3.269 3.269 4.429
3.269 -3.269 4.429
3.269 3.269 -4.429
Cs K As O
2 2 1 4
Direct
0.250 0.750 0.500
0.750 0.250 0.500
0.154 0.154 0.000
0.846 0.846 0.000
0.500 0.500 0.000
0.293 0.293 0.586
0.293 0.707 0.000
0.707 0.293 0.000
0.707 0.707 0.414

=====

4.
K3Cd2In2Au4, optimized geometry, DFT GGA-PBE; formation energy from the elements = -231 meV per atom; calculated volume = 30.6 Å³/atom; density of states at the Fermi level = 4.11 states/eV/f.u.; calculated total energy = -2.386 eV per atom; M_tot = 0.00 μB per formula unit
1.0
4.875 0.000 0.000
-2.437 4.222 0.000
0.000 0.000 16.333
K Cd In Au
3 2 2 4
Direct
0.000 0.000 0.000
0.000 0.000 0.276
0.000 0.000 0.724
0.333 0.667 0.139
0.667 0.333 0.861
0.333 0.667 0.573
0.667 0.333 0.427
0.333 0.667 0.401
0.333 0.667 0.865
0.667 0.333 0.135
0.667 0.333 0.599

=====

5.
Cr2CoAg, optimized geometry, DFT GGA-PBE; formation energy from the elements = 495 meV per atom; calculated volume = 13.8 Å³/atom; density of states at the Fermi level = 4.32 states/eV/f.u.; calculated total energy = -6.806 eV per atom; M_tot = 1.47 μB per formula unit; offset from the most stable computed form = 146 meV/atom
1.0
3.117 0.000 0.000
0.000 4.296 0.000
0.000 0.000 8.218
Cr Co Ag
4 2 2
Direct
0.000 0.000 0.000
0.000 0.500 0.270
0.500 0.000 0.770
0.500 0.500 0.500
0.000 0.000 0.538
0.500 0.500 0.038
0.000 0.500 0.772
0.500 0.000 0.272

=====

6.
BeBiPd3, optimized geometry, DFT GGA-PBE; formation energy from the elements = 1088 meV per atom; calculated volume = 25.4 Å³/atom; density of states at the Fermi level = 3.19 states/eV/f.u.; calculated total energy = -3.549 eV per atom; M_tot = 0.00 μB per formula unit; offset from the most stable computed form = 1310 meV/atom
1.0
5.024 0.000 0.000
0.000 5.024 0.000
0.000 0.000 5.024
Be Bi Pd
1 1 3
Direct
0.000 0.000 0.000
0.500 0.500 0.500
0.000 0.500 0.500
0.500 0.000 0.500
0.500 0.500 0.000

=====

7.
Tl2InHgI6, optimized geometry, DFT GGA-PBE; calculated volume = 43.3 Å³/atom; density of states at the Fermi level = 0.85 states/eV/f.u.; uncorrected formation energy = -43.9 kJ/mol of atoms; calculated total energy = -2.162 eV per atom; M_tot = 0.00 μB per formula unit
1.0
4.188 2.418 7.125
-4.188 2.418 7.125
0.000 -4.836 7.125
Tl In Hg I
2 1 1 6
Direct
0.000 0.000 0.000
0.498 0.498 0.498
0.704 0.704 0.704
0.206 0.206 0.206
0.027 0.452 0.868
0.375 0.940 0.540
0.452 0.868 0.027
0.540 0.375 0.940
0.868 0.027 0.452
0.940 0.540 0.375

=====

8.
K2TmTiO4, optimized geometry, DFT GGA-PBE; calculated volume = 20.0 Å³/atom; density of states at the Fermi level = 2.14 states/eV/f.u.; uncorrected formation energy = -241.0 kJ/mol of atoms; calculated total energy = -6.798 eV per atom; M_tot = 0.76 μB per formula unit
1.0
7.318 0.000 0.000
0.000 7.337 0.000
0.000 0.000 5.972
K Tm Ti O
4 2 2 8
Direct
0.243 0.159 0.000
0.257 0.841 0.500
0.743 0.841 0.500
0.757 0.159 0.000
0.000 0.661 0.983
0.500 0.339 0.483
0.000 0.372 0.477
0.500 0.628 0.977
0.000 0.420 0.175
0.000 0.589 0.639
0.215 0.249 0.537
0.285 0.751 0.037
0.500 0.411 0.139
0.500 0.580 0.675
0.715 0.751 0.037
0.785 0.249 0.537